[1]
# NaBiPt2 | Alexandria | GGA-PBE | optimized geometry
# - Magnetization: 0.00 μB/cell
# - Formation energy: 73 meV/atom
data_NaBiPt2
_chemical_formula_sum 'Na4 Bi4 Pt8'
_cell_length_a 7.737
_cell_length_b 7.737
_cell_length_c 5.794
_cell_angle_alpha 90.00
_cell_angle_beta 90.00
_cell_angle_gamma 90.00
_symmetry_space_group_name_H-M 'I -4 2 d'
_symmetry_Int_Tables_number 122
_symmetry_space_group_name_Hall 'I -4 2bw'
loop_
_atom_site_label
_atom_site_type_symbol
_atom_site_fract_x
_atom_site_fract_y
_atom_site_fract_z
Na1 Na 0.000 0.000 0.000
Bi1 Bi 0.000 0.000 0.500
Pt1 Pt 0.232 0.750 0.625

=====

[2]
# ScCuC | Alexandria | GGA-PBE | optimized geometry
# - Magnetization: 0.00 μB/cell
# - Formation energy: 55 meV/atom
data_ScCuC
_chemical_formula_sum 'Sc4 Cu4 C4'
_cell_length_a 5.304
_cell_length_b 4.639
_cell_length_c 6.843
_cell_angle_alpha 90.00
_cell_angle_beta 96.24
_cell_angle_gamma 90.00
_symmetry_space_group_name_H-M 'C 1 m 1'
_symmetry_Int_Tables_number 8
loop_
_symmetry_equiv_pos_as_xyz
'x,y,z'
'x,-y,z'
'x+1/2,y+1/2,z'
'x+1/2,-y+1/2,z'
loop_
_atom_site_label
_atom_site_type_symbol
_atom_site_fract_x
_atom_site_fract_y
_atom_site_fract_z
Sc1 Sc 0.000 0.000 0.000
Sc2 Sc 0.061 0.000 0.477
Cu1 Cu 0.020 0.500 0.199
Cu2 Cu 0.448 0.000 0.793
C1 C 0.278 0.353 0.689

=====

[3]
# RbGa3Tc | Alexandria | GGA-PBE | optimized geometry
# - Relative energy among the computed polymorphs: 615 meV/atom
# - Magnetization: 0.00 μB/cell
# - Formation energy: 471 meV/atom
data_RbGa3Tc
_chemical_formula_sum 'Rb2 Ga6 Tc2'
_cell_length_a 4.2927
_cell_length_b 4.2927
_cell_length_c 20.5412
_cell_angle_alpha 90.00
_cell_angle_beta 90.00
_cell_angle_gamma 120.00
_symmetry_space_group_name_H-M 'P 63/m m c'
_symmetry_Int_Tables_number 194
_symmetry_space_group_name_Hall '-P 6c 2c'
loop_
_atom_site_label
_atom_site_type_symbol
_atom_site_fract_x
_atom_site_fract_y
_atom_site_fract_z
Rb1 Rb 0.0000 0.0000 0.0000
Ga1 Ga 0.0000 0.0000 0.2500
Ga2 Ga 0.3333 0.6667 0.1347
Tc1 Tc 0.3333 0.6667 0.2500

=====

[4]
# Ru3BrCl | Alexandria | GGA-PBE | optimized geometry
# - Formation energy (no corrections): 1.463 eV per atom
# - Relative energy among the computed polymorphs: 0 meV/atom
# - Magnetization: 4.62 μB/cell
data_Ru3BrCl
_chemical_formula_sum 'Ru3 Br1 Cl1'
_cell_length_a 4.522
_cell_length_b 4.522
_cell_length_c 4.522
_cell_angle_alpha 90.00
_cell_angle_beta 90.00
_cell_angle_gamma 90.00
_symmetry_space_group_name_H-M 'P m -3 m'
_symmetry_Int_Tables_number 221
_symmetry_space_group_name_Hall '-P 4 2 3'
loop_
_atom_site_label
_atom_site_type_symbol
_atom_site_fract_x
_atom_site_fract_y
_atom_site_fract_z
Ru1 Ru 0.000 0.000 0.500
Br1 Br 0.500 0.500 0.500
Cl1 Cl 0.000 0.000 0.000

=====

[5]
# Ce7CoCl12 | Alexandria | GGA-PBE | optimized geometry
# - Formation energy (no corrections): -1.790 eV per atom
# - Magnetization: 25.11 μB/cell
data_Ce7CoCl12
_chemical_formula_sum 'Ce21 Co3 Cl36'
_cell_length_a 14.7437
_cell_length_b 14.7437
_cell_length_c 9.7861
_cell_angle_alpha 90.00
_cell_angle_beta 90.00
_cell_angle_gamma 120.00
_symmetry_space_group_name_H-M 'R -3'
_symmetry_Int_Tables_number 148
_symmetry_space_group_name_Hall '-R 3'
loop_
_atom_site_label
_atom_site_type_symbol
_atom_site_fract_x
_atom_site_fract_y
_atom_site_fract_z
Ce1 Ce 0.0000 0.0000 0.0000
Ce2 Ce 0.0364 0.8718 0.3373
Co1 Co 0.0000 0.0000 0.5000
Cl1 Cl 0.0285 0.4477 0.1580
Cl2 Cl 0.0415 0.8629 0.8404

=====

[6]
# ZrCoB3 | Alexandria | GGA-PBE | optimized geometry
# - Relative energy among the computed polymorphs: 0 meV/atom
# - Magnetization: 0.00 μB/cell
# - Formation energy: -645 meV/atom
data_ZrCoB3
_chemical_formula_sum 'Zr4 Co4 B12'
_cell_length_a 3.357
_cell_length_b 17.983
_cell_length_c 3.131
_cell_angle_alpha 90.00
_cell_angle_beta 90.00
_cell_angle_gamma 90.00
_symmetry_space_group_name_H-M 'C m c m'
_symmetry_Int_Tables_number 63
_symmetry_space_group_name_Hall '-C 2c 2'
loop_
_atom_site_label
_atom_site_type_symbol
_atom_site_fract_x
_atom_site_fract_y
_atom_site_fract_z
Zr1 Zr 0.000 0.078 0.250
Co1 Co 0.000 0.206 0.750
B1 B 0.000 0.317 0.750
B2 B 0.000 0.367 0.250
B3 B 0.000 0.475 0.250

=====

[7]
# NbV6Mo5 | Alexandria | GGA-PBE | optimized geometry
# - Magnetization: 0.00 μB/cell
# - Formation energy: -102 meV/atom
data_NbV6Mo5
_chemical_formula_sum 'Nb2 V12 Mo10'
_cell_length_a 4.375
_cell_length_b 13.076
_cell_length_c 6.182
_cell_angle_alpha 90.00
_cell_angle_beta 90.00
_cell_angle_gamma 90.00
_symmetry_space_group_name_H-M 'C m m m'
_symmetry_Int_Tables_number 65
_symmetry_space_group_name_Hall '-C 2 2'
loop_
_atom_site_label
_atom_site_type_symbol
_atom_site_fract_x
_atom_site_fract_y
_atom_site_fract_z
Nb1 Nb 0.000 0.000 0.000
V1 V 0.000 0.169 0.253
V2 V 0.000 0.500 0.254
Mo1 Mo 0.000 0.000 0.500
Mo2 Mo 0.000 0.333 0.000
Mo3 Mo 0.000 0.333 0.500

=====

[8]
# CeTh2Fe9 | Alexandria | GGA-PBE | optimized geometry
# - Magnetization: 50.66 μB/cell
# - Formation energy: -41 meV/atom
data_CeTh2Fe9
_chemical_formula_sum 'Ce3 Th6 Fe27'
_cell_length_a 5.1270
_cell_length_b 5.1270
_cell_length_c 24.8430
_cell_angle_alpha 90.00
_cell_angle_beta 90.00
_cell_angle_gamma 120.00
_symmetry_space_group_name_H-M 'R -3 m'
_symmetry_Int_Tables_number 166
_symmetry_space_group_name_Hall '-R 3 2"'
loop_
_atom_site_label
_atom_site_type_symbol
_atom_site_fract_x
_atom_site_fract_y
_atom_site_fract_z
Ce1 Ce 0.0000 0.0000 0.0000
Th1 Th 0.0000 0.0000 0.1398
Fe1 Fe 0.0000 0.0000 0.3326
Fe2 Fe 0.0000 0.0000 0.5000
Fe3 Fe 0.0012 0.5006 0.0811

=====

[9]
# DyZnCl5 | Alexandria | GGA-PBE | optimized geometry
# - Formation energy (no corrections): -1.771 eV per atom
# - Relative energy among the computed polymorphs: 0 meV/atom
# - Magnetization: 0.00 μB/cell
data_DyZnCl5
_chemical_formula_sum 'Dy4 Zn4 Cl20'
_cell_length_a 8.499
_cell_length_b 11.617
_cell_length_c 9.768
_cell_angle_alpha 90.00
_cell_angle_beta 114.94
_cell_angle_gamma 90.00
_symmetry_space_group_name_H-M 'C 1 2/c 1'
_symmetry_Int_Tables_number 15
loop_
_symmetry_equiv_pos_as_xyz
'x,y,z'
'-x,-y,-z'
'-x,y,-z+1/2'
'x,-y,z+1/2'
'x+1/2,y+1/2,z'
'-x+1/2,-y+1/2,-z'
'-x+1/2,y+1/2,-z+1/2'
'x+1/2,-y+1/2,z+1/2'
loop_
_atom_site_label
_atom_site_type_symbol
_atom_site_fract_x
_atom_site_fract_y
_atom_site_fract_z
Dy1 Dy 0.000 0.000 0.000
Zn1 Zn 0.000 0.301 0.250
Cl1 Cl 0.000 0.089 0.750
Cl2 Cl 0.146 0.193 0.145
Cl3 Cl 0.184 0.421 0.439

=====

[10]
# InIr2Rh | Alexandria | GGA-PBE | optimized geometry
# - Magnetization: 0.00 μB/cell
# - Formation energy: 59 meV/atom
data_InIr2Rh
_chemical_formula_sum 'In2 Ir4 Rh2'
_cell_length_a 5.673
_cell_length_b 7.759
_cell_length_c 2.854
_cell_angle_alpha 90.00
_cell_angle_beta 90.00
_cell_angle_gamma 90.00
_symmetry_space_group_name_H-M 'C m m m'
_symmetry_Int_Tables_number 65
_symmetry_space_group_name_Hall '-C 2 2'
loop_
_atom_site_label
_atom_site_type_symbol
_atom_site_fract_x
_atom_site_fract_y
_atom_site_fract_z
In1 In 0.000 0.000 0.000
Ir1 Ir 0.250 0.250 0.500
Rh1 Rh 0.000 0.500 0.000

=====

[11]
# BaWBr2 | Alexandria | GGA-PBE | optimized geometry
# - Formation energy (no corrections): 0.049 eV per atom
# - Relative energy among the computed polymorphs: 0 meV/atom
# - Magnetization: 7.99 μB/cell
data_BaWBr2
_chemical_formula_sum 'Ba2 W2 Br4'
_cell_length_a 11.217
_cell_length_b 4.706
_cell_length_c 5.629
_cell_angle_alpha 90.00
_cell_angle_beta 90.58
_cell_angle_gamma 90.00
_symmetry_space_group_name_H-M 'C 1 2/m 1'
_symmetry_Int_Tables_number 12
loop_
_symmetry_equiv_pos_as_xyz
'x,y,z'
'-x,-y,-z'
'-x,y,-z'
'x,-y,z'
'x+1/2,y+1/2,z'
'-x+1/2,-y+1/2,-z'
'-x+1/2,y+1/2,-z'
'x+1/2,-y+1/2,z'
loop_
_atom_site_label
_atom_site_type_symbol
_atom_site_fract_x
_atom_site_fract_y
_atom_site_fract_z
Ba1 Ba 0.000 0.000 0.000
W1 W 0.000 0.500 0.500
Br1 Br 0.181 0.500 0.230

=====

[12]
# Li3Br | Alexandria | GGA-PBE | optimized geometry
# - Formation energy (no corrections): -0.569 eV per atom
# - Relative energy among the computed polymorphs: 42 meV/atom
# - Magnetization: 0.00 μB/cell
data_Li3Br
_chemical_formula_sum 'Li6 Br2'
_cell_length_a 4.843
_cell_length_b 5.780
_cell_length_c 6.783
_cell_angle_alpha 90.00
_cell_angle_beta 90.00
_cell_angle_gamma 90.00
_symmetry_space_group_name_H-M 'P m m n'
_symmetry_Int_Tables_number 59
loop_
_symmetry_equiv_pos_as_xyz
'x,y,z'
'-x,-y,-z'
'-x+1/2,-y+1/2,z'
'x+1/2,y+1/2,-z'
'x+1/2,-y,-z'
'-x+1/2,y,z'
'-x,y+1/2,-z'
'x,-y+1/2,z'
loop_
_atom_site_label
_atom_site_type_symbol
_atom_site_fract_x
_atom_site_fract_y
_atom_site_fract_z
Li1 Li 0.250 0.006 0.116
Li2 Li 0.250 0.750 0.692
Br1 Br 0.250 0.250 0.440